A geometry-optimized Pm2Te3 structure. Source: OQMD, functional PBE-GGA.

Structure (extended XYZ):
```
20
Lattice="12.275 0.000 0.000 0.000 4.399 0.000 0.000 0.000 11.951" Properties=species:S:1:pos:R:3 pbc="T T T"
Pm 0.208 1.100 2.244
Pm 2.414 1.100 5.938
Pm 3.724 3.299 11.913
Pm 5.929 3.299 8.219
Pm 6.346 1.100 3.732
Pm 8.551 1.100 0.037
Pm 9.862 3.299 6.013
Pm 12.067 3.299 9.707
Te 0.515 3.299 4.508
Te 1.462 1.100 11.266
Te 2.762 3.299 8.333
Te 3.375 1.100 2.358
Te 4.676 3.299 5.291
Te 5.623 1.100 10.484
Te 6.653 3.299 1.467
Te 7.599 1.100 6.660
Te 8.900 3.299 9.593
Te 9.513 1.100 3.617
Te 10.814 3.299 0.684
Te 11.760 1.100 7.442
```

Computed properties:
Total moment in μB/f.u.: 0.00
DFT total energy in eV per atom: -5.24
Symmetry: Pnma

---

A geometry-optimized Sc2Al3Hg3 structure. Source: OQMD, functional PBE-GGA.

Structure (extended XYZ):
```
8
Lattice="4.849 0.000 0.000 0.000 3.101 5.233 0.000 -3.101 5.233" Properties=species:S:1:pos:R:3 pbc="T T T"
Sc 0.000 0.000 0.000
Sc 2.425 0.000 3.531
Al 0.000 -1.429 7.877
Al 0.000 1.429 7.877
Al 2.425 0.000 8.703
Hg 0.000 0.000 5.175
Hg 2.425 -1.586 6.216
Hg 2.425 1.586 6.216
```

Computed properties:
Total moment in μB/f.u.: 0.00
Symmetry: Amm2
Excess energy over the best structure of this formula in the dataset in meV per atom: 0

---

A geometry-optimized Sr2AgBi2Au structure. Source: OQMD, functional PBE-GGA.

Structure (extended XYZ):
```
6
Lattice="4.906 0.000 0.000 -2.453 4.249 0.000 0.000 0.000 8.640" Properties=species:S:1:pos:R:3 pbc="T T T"
Sr 0.000 0.000 2.162
Sr 0.000 0.000 6.477
Ag 2.453 1.416 0.000
Bi 0.000 2.833 0.000
Bi 2.453 1.416 4.320
Au 0.000 2.833 4.320
```

Computed properties:
DFT total energy in eV per atom: -3.60
Symmetry: P-6m2

---

A geometry-optimized PuBeGe structure. Source: OQMD, functional PBE-GGA.

Structure (extended XYZ):
```
3
Lattice="3.926 0.000 0.000 -1.963 3.400 0.000 0.000 0.000 4.175" Properties=species:S:1:pos:R:3 pbc="T T T"
Pu 0.000 0.000 0.000
Be 1.963 1.133 2.087
Ge 0.000 2.267 2.087
```

Computed properties:
Total moment in μB/f.u.: 5.99
DFT total energy in eV per atom: -7.90
Symmetry: P-6m2

---

A geometry-optimized SmI2 structure. Source: OQMD, functional PBE-GGA.

Structure (extended XYZ):
```
24
Lattice="7.376 0.000 0.000 0.000 14.077 0.000 0.000 0.000 8.234" Properties=species:S:1:pos:R:3 pbc="T T T"
Sm 1.282 1.336 0.411
Sm 1.282 5.702 4.528
Sm 2.406 8.375 0.411
Sm 2.406 12.741 4.528
Sm 4.970 1.336 3.706
Sm 4.970 5.702 7.823
Sm 6.094 8.375 3.706
Sm 6.094 12.741 7.823
I 0.119 0.652 5.818
I 0.119 6.387 1.701
I 1.484 9.908 3.172
I 1.484 11.208 7.289
I 2.204 2.870 3.172
I 2.204 4.169 7.289
I 3.569 7.691 5.818
I 3.569 13.426 1.701
I 3.806 0.652 6.532
I 3.806 6.387 2.416
I 5.172 9.908 0.944
I 5.172 11.208 5.061
I 5.892 2.870 0.944
I 5.892 4.169 5.061
I 7.257 7.691 6.532
I 7.257 13.426 2.416
```

Computed properties:
Total moment in μB/f.u.: 0.86
DFT total energy in eV per atom: -3.71
Symmetry: Pbca

---

A geometry-optimized HoTm2Ga structure. Source: OQMD, functional PBE-GGA.

Structure (extended XYZ):
```
8
Lattice="5.176 0.000 0.000 0.000 3.443 5.896 0.000 -3.443 5.896" Properties=species:S:1:pos:R:3 pbc="T T T"
Ho 0.000 0.000 0.000
Ho 2.588 0.000 3.671
Tm 0.000 0.000 5.828
Tm 2.588 -1.699 6.853
Tm 2.588 0.000 9.668
Tm 2.588 1.699 6.853
Ga 0.000 -1.632 8.633
Ga 0.000 1.632 8.633
```

Computed properties:
Total moment in μB/f.u.: 0.00
Symmetry: Amm2
Excess energy over the best structure of this formula in the dataset in meV per atom: 115